# NdGd3Ir

A relaxed structure of NdGd3Ir (PBE, Alexandria).

The calculation puts the total energy at -57.23 eV for the cell shown.

The space group is Pm-3m (No. 221) and the conventional cell measures 5.497, 5.497 and 5.497 Å, with angles of 90.00, 90.00 and 90.00 degrees. Symmetry generates all atoms from Nd at (0.000, 0.000, 0.000), Gd at (0.000, 0.500, 0.500) and Ir at (0.500, 0.500, 0.500).

# Cs3Pb2I8

A relaxed structure of Cs3Pb2I8 (PBE, Alexandria).

The uncorrected formation energy is -1170 kJ/mol of formula units. The calculation puts the total energy at -103.51 eV for the cell shown.

The space group is R-3m (No. 166, hexagonal axes) and the conventional cell measures 8.9974, 8.9974 and 32.8746 Å, with angles of 90.00, 90.00 and 120.00 degrees. Symmetry generates all atoms from Cs at (0.0000, 0.0000, 0.0000), Cs at (0.0000, 0.0000, 0.2042), Pb at (0.0000, 0.0000, 0.4096), I at (0.0000, 0.0000, 0.3183) and I at (0.0392, 0.5196, 0.7704).

# Ba2TaCdGe

A relaxed structure of Ba2TaCdGe (PBE, Alexandria).

The calculation puts the total energy at -16.12 eV for the cell shown.

The space group is P4/mmm (No. 123) and the conventional cell measures 6.309, 6.309 and 5.288 Å, with angles of 90.00, 90.00 and 90.00 degrees. Symmetry generates all atoms from Ba at (0.000, 0.500, 0.000), Ta at (0.000, 0.000, 0.500), Cd at (0.000, 0.000, 0.000) and Ge at (0.500, 0.500, 0.500).

# Ba4AgHg2

A relaxed structure of Ba4AgHg2 (PBE, Alexandria).

The calculation puts the total energy at -27.03 eV for the cell shown. As for the relative energy among the computed polymorphs: 0 meV/atom.

The space group is I4/mmm (No. 139) and the conventional cell measures 8.335, 8.335 and 8.304 Å, with angles of 90.00, 90.00 and 90.00 degrees. Symmetry generates all atoms from Ba at (0.250, 0.250, 0.250), Ag at (0.000, 0.000, 0.000) and Hg at (0.000, 0.500, 0.000).

# BeAlCrRe

A relaxed structure of BeAlCrRe (PBE, Alexandria).

The calculation puts the total energy at -120.77 eV for the cell shown.

The space group is F-43m (No. 216) and the conventional cell measures 5.804, 5.804 and 5.804 Å, with angles of 90.00, 90.00 and 90.00 degrees. Symmetry generates all atoms from Be at (0.000, 0.000, 0.000), Al at (0.250, 0.250, 0.750), Cr at (0.000, 0.000, 0.500) and Re at (0.250, 0.250, 0.250).

# ScSn2Pt

A relaxed structure of ScSn2Pt (PBE, Alexandria).

The calculation puts the total energy at -88.98 eV for the cell shown.

The space group is I-42d (No. 122) and the conventional cell measures 7.900, 7.900 and 5.857 Å, with angles of 90.00, 90.00 and 90.00 degrees. Symmetry generates all atoms from Sc at (0.000, 0.000, 0.000), Sn at (0.209, 0.750, 0.625) and Pt at (0.000, 0.000, 0.500).